! BaMg6FeO8 | Alexandria | PBE with a Hubbard U | relaxed; values from VASP
&SYSTEM
  ibrav = 0, nat = 16, ntyp = 4
/
ATOMIC_SPECIES
Ba 137.33 Ba.upf
Mg 24.30 Mg.upf
Fe 55.84 Fe.upf
O 16.00 O.upf
CELL_PARAMETERS angstrom
4.688 0.000 0.000
0.000 4.688 0.000
0.000 0.000 8.820
ATOMIC_POSITIONS angstrom
Ba 0.000 0.000 4.410
Mg 2.344 2.344 0.000
Mg 2.344 2.344 4.410
Mg 0.000 2.344 2.054
Mg 0.000 2.344 6.766
Mg 2.344 0.000 2.054
Mg 2.344 0.000 6.766
Fe 0.000 0.000 0.000
O 0.000 0.000 1.935
O 0.000 0.000 6.885
O 2.344 2.344 2.178
O 2.344 2.344 6.641
O 0.000 2.344 0.000
O 0.000 2.344 4.410
O 2.344 0.000 0.000
O 2.344 0.000 4.410
! **E above lowest polymorph**: 10 meV/atom
! **Symmetry**: P4/mmm